BaZrSb | GGA-PBE | optimized geometry

Computed properties:
ΔE_f (raw): 2.3 eV/f.u.
Density of states at the Fermi level: 1.830 states/eV per atom
ΔE to the lowest computed polymorph: 1449 meV per atom
SG: F-43m (216)
Magnetization: 3.01 μB/f.u.

abc: 5.492 5.492 5.492
angles: 60.00 60.00 60.00
Fractional positions:
Zr: 0.500 0.500 0.500
Ba: 0.750 0.750 0.750
Sb: 0.000 0.000 0.000

***

Ba3ZrSb | GGA-PBE | optimized geometry

Computed properties:
ΔE_f (raw): 1.6 eV/f.u.
Density of states at the Fermi level: 2.703 states/eV per atom
ΔE to the lowest computed polymorph: 0 meV per atom
SG: Pm-3m (221)
Magnetization: 4.94 μB/f.u.

abc: 6.615 6.615 6.615
angles: 90.00 90.00 90.00
Fractional positions:
Zr: 0.500 0.500 0.500
Ba: 0.000 0.000 0.500
Sb: 0.000 0.000 0.000
Ba: 0.500 0.000 0.000
Ba: 0.000 0.500 0.000